Compound: KIr2Ru
Source: the Alexandria database
Functional: PBE
Structure: relaxed

Values from the calculation:
Density of states at the Fermi level in states/eV/atom: 1.20
DFT total energy in eV per atom: -5.860
Crystal system: orthorhombic
ΔE to the lowest computed polymorph in meV/atom: 695

```
data_KIr2Ru
_symmetry_space_group_name_H-M 'P m m m'
_symmetry_Int_Tables_number 47
_cell_length_a 2.731
_cell_length_b 4.928
_cell_length_c 5.061
_cell_angle_alpha 90.00
_cell_angle_beta 90.00
_cell_angle_gamma 90.00
loop_
_symmetry_equiv_pos_as_xyz
'x,y,z'
'-x,-y,-z'
'-x,-y,z'
'x,y,-z'
'x,-y,-z'
'-x,y,z'
'-x,y,-z'
'x,-y,z'
loop_
_atom_site_label
_atom_site_fract_x
_atom_site_fract_y
_atom_site_fract_z
_atom_site_occupancy
K1 0.000 0.000 0.000 1
Ir1 0.000 0.500 0.500 1
Ir2 0.500 0.000 0.500 1
Ru1 0.500 0.500 0.000 1
```

=====

Compound: K2IrRu
Source: the Alexandria database
Functional: PBE
Structure: relaxed

Values from the calculation:
Density of states at the Fermi level in states/eV/atom: 1.10
DFT total energy in eV per atom: -4.305
Crystal system: orthorhombic
ΔE to the lowest computed polymorph in meV/atom: 284

```
data_K2IrRu
_symmetry_space_group_name_H-M 'I m m 2'
_symmetry_Int_Tables_number 44
_cell_length_a 4.207
_cell_length_b 5.718
_cell_length_c 9.600
_cell_angle_alpha 90.00
_cell_angle_beta 90.00
_cell_angle_gamma 90.00
loop_
_symmetry_equiv_pos_as_xyz
'x,y,z'
'-x,-y,z'
'-x,y,z'
'x,-y,z'
'x+1/2,y+1/2,z+1/2'
'-x+1/2,-y+1/2,z+1/2'
'-x+1/2,y+1/2,z+1/2'
'x+1/2,-y+1/2,z+1/2'
loop_
_atom_site_label
_atom_site_fract_x
_atom_site_fract_y
_atom_site_fract_z
_atom_site_occupancy
K1 0.000 0.000 0.000 1
K2 0.000 0.500 0.196 1
Ir1 0.000 0.000 0.403 1
Ru1 0.000 0.500 0.798 1
```

=====

Compound: KIrRu2
Source: the Alexandria database
Functional: PBE
Structure: relaxed

Values from the calculation:
Density of states at the Fermi level in states/eV/atom: 1.41
DFT total energy in eV per atom: -6.400
Crystal system: trigonal
ΔE to the lowest computed polymorph in meV/atom: 112

```
data_KIrRu2
_symmetry_space_group_name_H-M 'R -3 m'
_symmetry_Int_Tables_number 166
_symmetry_space_group_name_Hall '-R 3 2"'
_cell_length_a 2.7773
_cell_length_b 2.7773
_cell_length_c 30.6116
_cell_angle_alpha 90.00
_cell_angle_beta 90.00
_cell_angle_gamma 120.00
loop_
_atom_site_label
_atom_site_fract_x
_atom_site_fract_y
_atom_site_fract_z
_atom_site_occupancy
K1 0.0000 0.0000 0.0000 1
Ir1 0.0000 0.0000 0.5000 1
Ru1 0.0000 0.0000 0.2369 1
```

=====

Look up the DFT total energy of the second one. -4.305 eV per atom